Density functional theory data (GGA-PBE) for an optimized crystal structure of GaSnTe2I.

Cell lengths 5.7284, 5.7284, 6.1624 Å; angles 90.00, 90.00, 90.00 degrees
Space group P4/mmm (No. 123)
Unique sites:
Ga1 0.0000 0.0000 0.0000 [1 per cell]
Sn1 0.5000 0.5000 0.5000 [1 per cell]
Te1 0.0000 0.5000 0.5000 [2 per cell]
I1 0.5000 0.5000 0.0000 [1 per cell]

Results
energy above the lowest structure with this stoichiometry: 25 meV/atom
total energy: -0.103 hartree per atom
energy relative to the elements, uncorrected: 170 meV/atom
density of states at the Fermi level: 3.6 states/eV per cell

Density functional theory data (GGA-PBE) for an optimized crystal structure of Ti2GaSnI.

Cell lengths 5.2861, 5.2861, 6.2727 Å; angles 90.00, 90.00, 90.00 degrees
Space group P4/mmm (No. 123)
Unique sites:
Ti1 0.0000 0.5000 0.0000 [2 per cell]
Ga1 0.0000 0.0000 0.5000 [1 per cell]
Sn1 0.5000 0.5000 0.0000 [1 per cell]
I1 0.5000 0.5000 0.5000 [1 per cell]

Results
total energy: -0.141 hartree per atom
energy relative to the elements, uncorrected: 1027 meV/atom
density of states at the Fermi level: 9.8 states/eV per cell

Density functional theory data (GGA-PBE) for an optimized crystal structure of SrGaI2.

Cell lengths 5.9353, 5.9353, 20.2445 Å; angles 90.00, 90.00, 90.00 degrees
Space group I-42d (No. 122)
Unique sites:
Sr1 0.0000 0.0000 0.0000 [4 per cell]
Ga1 0.0000 0.0000 0.5000 [4 per cell]
I1 0.2465 0.2500 0.1250 [8 per cell]

Results
energy above the lowest structure with this stoichiometry: 108 meV/atom
total energy: -0.097 hartree per atom
energy relative to the elements, uncorrected: -681 meV/atom
density of states at the Fermi level: 14.3 states/eV per cell

> Number 3 is which compound?

SrGaI2